Density functional theory data (PBE) for crystalline Cs2CeGaO4 at its relaxed geometry.

Calculated values
- Formation energy from raw total energies: -1906 meV per atom

extended XYZ file:
```
16
Lattice="0.0000 6.5950 12.1033 2.8992 0.0000 12.1033 2.8992 6.5950 0.0000" Properties=species:S:1:pos:R:3 pbc="T T T"
Cs 2.1744 4.9462 1.3963
Cs 3.6240 8.2437 7.4479
Cs 2.1744 4.9462 16.7586
Cs 3.6240 8.2437 22.8102
Ce 0.7248 1.6487 3.0258
Ce 5.0736 11.5412 21.1807
Ga 2.1744 4.9462 9.0774
Ga 3.6240 8.2437 15.1291
O 3.4190 3.8181 8.1784
O 3.4190 6.0744 9.9765
O 4.8686 7.1156 16.0282
O 4.8686 9.3719 14.2300
O 0.9299 3.8181 9.9765
O 0.9299 6.0744 8.1784
O 2.3795 7.1156 14.2300
O 2.3795 9.3719 16.0282
```